! AcPIr6C | the Alexandria database | PBE | optimized geometry; values from VASP
&SYSTEM
  ibrav = 0, nat = 18, ntyp = 4
/
ATOMIC_SPECIES
Ac 227.00 Ac.upf
P 30.97 P.upf
Ir 192.22 Ir.upf
C 12.01 C.upf
CELL_PARAMETERS angstrom
7.0960 0.0000 0.0000
0.0000 8.1108 0.0000
-3.5480 -4.0554 5.5278
ATOMIC_POSITIONS angstrom
Ac 3.5480 2.0277 3.7573
Ac 0.0000 2.0277 1.7706
P 1.7740 -2.0277 2.7639
P -1.7740 -2.0277 2.7639
Ir 0.0000 2.0277 5.0324
Ir 3.5480 -2.0277 4.2047
Ir 5.0109 -0.2375 1.3813
Ir 2.0851 4.2929 1.3813
Ir 2.0851 -0.2375 1.3813
Ir 5.0109 4.2929 1.3813
Ir 3.5480 2.0277 0.4955
Ir 0.0000 6.0831 1.3231
Ir -1.4629 4.2929 4.1465
Ir 1.4629 -0.2375 4.1465
Ir 1.4629 4.2929 4.1465
Ir -1.4629 -0.2375 4.1465
C 3.5480 4.0554 0.0000
C 3.5480 0.0000 0.0000
! Density of states at the Fermi level: 0.816 states/eV per atom
! V: 318 Å³ per cell
! Space group: Imma
! ΔE_f: 0.068 eV/atom

***

! YTcN3 | the Alexandria database | PBE | optimized geometry; values from VASP
&SYSTEM
  ibrav = 0, nat = 10, ntyp = 3
/
ATOMIC_SPECIES
Y 88.91 Y.upf
Tc 98.00 Tc.upf
N 14.01 N.upf
CELL_PARAMETERS angstrom
3.2415 -0.0043 -0.0032
-1.1699 7.1153 -0.0328
-0.0782 -2.8501 5.2229
ATOMIC_POSITIONS angstrom
Y 0.1448 3.4337 2.1764
Y 2.8122 -2.1563 5.0592
Tc -0.2683 0.1741 3.0890
Tc 1.5281 1.8564 4.5635
N 1.8801 1.7380 2.2920
N -0.0116 3.2982 4.4338
N 1.3206 0.6357 1.6970
N 1.8325 5.2889 2.4627
N 1.7098 4.8302 1.2498
N 1.2896 -0.2264 4.4444
! Formation energy without anion corrections: -0.37 eV per atom
! Density of states at the Fermi level: 0.588 states/eV per atom
! V: 120 Å³ per cell
! Space group: P1

***

! Cs2TeSe6 | the Alexandria database | PBE | optimized geometry; values from VASP
&SYSTEM
  ibrav = 0, nat = 9, ntyp = 3
/
ATOMIC_SPECIES
Cs 132.91 Cs.upf
Te 127.60 Te.upf
Se 78.96 Se.upf
CELL_PARAMETERS angstrom
-2.1341 -7.4422 -0.1967
4.3296 -1.4313 7.1818
-6.8164 -0.0600 -0.9413
ATOMIC_POSITIONS angstrom
Cs -0.7160 -6.0704 4.2604
Cs -3.9049 -2.8631 1.7834
Te 0.0000 0.0000 0.0000
Se -0.5648 -1.4732 2.3759
Se -6.3843 -6.6906 -0.1942
Se -4.0560 -7.4603 3.6679
Se -0.4642 -3.9204 0.9016
Se 1.7635 -2.2429 6.2380
Se 2.6597 -4.9531 6.0836
! Formation energy without anion corrections: -0.45 eV per atom
! Density of states at the Fermi level: 0.125 states/eV per atom
! Distance to the lowest polymorph of the same formula: 0 meV per atom
! V: 332 Å³ per cell
! Space group: C2/m

***

! K3NaZn2F8 | the Alexandria database | PBE | optimized geometry; values from VASP
&SYSTEM
  ibrav = 0, nat = 14, ntyp = 4
/
ATOMIC_SPECIES
K 39.10 K.upf
Na 22.99 Na.upf
Zn 65.41 Zn.upf
F 19.00 F.upf
CELL_PARAMETERS angstrom
-2.3473 4.9048 2.6412
-3.1170 -5.1790 -0.0705
3.2280 -2.0332 6.6444
ATOMIC_POSITIONS angstrom
K -0.8317 -3.0956 5.0094
K -1.4047 0.7882 4.2058
K 0.0000 0.0000 0.0000
Na 1.6140 -1.0166 3.3222
Zn -2.2233 -2.2191 2.1450
Zn -0.0131 -0.0883 7.0702
F 0.2153 -3.7550 7.1644
F -2.4516 1.4476 2.0508
F -1.9731 -4.1140 2.4745
F -0.2632 1.8065 6.7407
F -0.4360 -1.5599 2.5093
F -1.8004 -0.7475 6.7059
F -3.1307 -1.6951 3.7771
F 0.8944 -0.6123 5.4381
! Formation energy without anion corrections: -2.57 eV per atom
! Density of states at the Fermi level: 0.000 states/eV per atom
! V: 242 Å³ per cell
! Space group: P-3m1

***

! BaSiSe | the Alexandria database | PBE | optimized geometry; values from VASP
&SYSTEM
  ibrav = 0, nat = 3, ntyp = 3
/
ATOMIC_SPECIES
Ba 137.33 Ba.upf
Se 78.96 Se.upf
Si 28.09 Si.upf
CELL_PARAMETERS angstrom
5.4001 0.0000 0.0000
2.7000 4.6766 0.0000
2.7000 1.5589 4.4091
ATOMIC_POSITIONS angstrom
Ba 8.1001 4.6766 3.3069
Se 0.0000 0.0000 0.0000
Si 5.4001 3.1177 2.2046
! Formation energy without anion corrections: 0.03 eV per atom
! Density of states at the Fermi level: 0.949 states/eV per atom
! Distance to the lowest polymorph of the same formula: 634 meV per atom
! V: 111 Å³ per cell
! Space group: F-43m

***

! CaLa2Al2 | the Alexandria database | PBE | optimized geometry; values from VASP
&SYSTEM
  ibrav = 0, nat = 5, ntyp = 3
/
ATOMIC_SPECIES
Ca 40.08 Ca.upf
La 138.91 La.upf
Al 26.98 Al.upf
CELL_PARAMETERS angstrom
4.5548 0.0000 0.0000
0.0000 4.1794 -1.1882
0.0000 0.1331 8.4129
ATOMIC_POSITIONS angstrom
Ca 0.0000 0.0000 0.0000
La 2.2774 2.7421 1.7006
La 2.2774 1.5705 5.5241
Al 0.0000 0.9043 3.1811
Al 0.0000 3.4082 4.0437
! Density of states at the Fermi level: 1.231 states/eV per atom
! Distance to the lowest polymorph of the same formula: 0 meV per atom
! V: 161 Å³ per cell
! Space group: Cmmm
! ΔE_f: -0.271 eV/atom

***

! La3Pr8Sm3 | the Alexandria database | PBE | optimized geometry; values from VASP
&SYSTEM
  ibrav = 0, nat = 14, ntyp = 3
/
ATOMIC_SPECIES
La 138.91 La.upf
Pr 140.91 Pr.upf
Sm 150.36 Sm.upf
CELL_PARAMETERS angstrom
-1.4461 -5.1008 -2.4257
-0.0962 -6.8192 7.3899
-9.6792 0.6688 -2.6432
ATOMIC_POSITIONS angstrom
La -5.6107 -5.6256 1.1605
La -3.0447 -5.3023 -1.0491
La -8.1768 -5.9489 3.3701
Pr -6.4339 -3.7847 -2.2199
Pr -4.7876 -7.4665 4.5408
Pr -2.1477 -7.1339 2.2676
Pr -9.0738 -4.1173 0.0533
Pr -6.7041 -9.1238 2.1615
Pr -4.5173 -2.1274 0.1595
Pr -8.6904 -7.5718 0.0820
Pr -2.5311 -3.6794 2.2390
Sm -0.7230 -2.5504 -1.2129
Sm -1.8626 -5.4389 5.5405
Sm -7.9128 -0.7114 -0.7939
! Density of states at the Fermi level: 1.396 states/eV per atom
! V: 507 Å³ per cell
! Space group: Immm
! ΔE_f: 0.103 eV/atom

***

! Ce2Be3Cu12Pt | the Alexandria database | PBE | optimized geometry; values from VASP
&SYSTEM
  ibrav = 0, nat = 18, ntyp = 4
/
ATOMIC_SPECIES
Ce 140.12 Ce.upf
Be 9.01 Be.upf
Cu 63.55 Cu.upf
Pt 195.08 Pt.upf
CELL_PARAMETERS angstrom
-5.1470 0.6811 -5.7128
-7.6024 -1.1967 0.6019
-5.4806 5.4113 -0.5220
ATOMIC_POSITIONS angstrom
Ce -10.6382 2.8569 -3.2871
Ce -7.5917 2.0388 -2.3458
Be -2.5735 0.3405 -2.8564
Be -3.8012 -0.5983 0.3009
Be -2.7403 2.7056 -0.2610
Cu -7.6499 4.5894 -1.6099
Cu -13.2376 2.1316 -4.5136
Cu -13.3582 3.8407 -2.6381
Cu -7.4352 1.5456 -4.9502
Cu -12.4710 4.5192 -4.9197
Cu -9.0153 0.3372 -0.8867
Cu -10.5800 0.3063 -4.0230
Cu -4.9923 2.7641 -1.1193
Cu -4.8718 1.0550 -2.9948
Cu -10.7947 3.3501 -0.6827
Cu -5.7590 0.3765 -0.7132
Cu -9.2146 4.5585 -4.7462
Pt 0.0000 0.0000 0.0000
! Density of states at the Fermi level: 1.020 states/eV per atom
! V: 281 Å³ per cell
! Space group: R-3m
! ΔE_f: 0.276 eV/atom